Computed, not measured: Cr2WCl after structural relaxation at the GGA-PBE level of DFT.

Cell lengths 6.606, 6.606, 5.370 Å; angles 52.04, 52.04, 90.00 degrees
Site moments in Bohr magnetons follow the coordinates.
Atoms (fractional coordinates):
1 Cr 0.578 0.125 0.250  1.66
2 Cr 0.172 0.625 0.250  1.68
3 Cr 0.375 0.422 0.750  1.66
4 Cr 0.875 0.828 0.750  1.67
5 W 0.000 0.000 0.000  -0.52
6 W 0.750 0.250 0.500  -0.52
7 Cl 0.500 0.500 0.000  0.00
8 Cl 0.250 0.750 0.500  0.00

Calculated values
Calculated total energy = -7.4984 eV per atom
Total magnetization = 2.918 μB per formula unit
DOS(E_F) = 0.9526 states/eV per atom
Energy above the lowest structure with this stoichiometry = 781 meV per atom